Below is crystalline FeSiNi2 at its relaxed geometry, with properties calculated at the PBE level.

Cell lengths 5.577, 4.275, 2.589 Å; angles 89.99, 62.36, 120.79 degrees
Element x y z (fractional)
Fe  0.500  0.500  0.000
Ni  0.000  0.000  0.000
Ni  0.500  0.000  0.500
Si  0.000  0.500  0.500

Computed properties:
Final energy ... -6.60 eV/atom
Spin magnetization ... 2.8 μB per formula unit